Record 1
NiOsO2 (GGA+U, optimized geometry); energy above the lowest structure with this stoichiometry = 0 meV/atom; symmetry = R-3m, No. 166; spin magnetization = 1.72 Bohr magnetons per cell; E = -6.6023 eV per atom
1.0
1.6135 0.0000 6.2126
-0.8067 1.3973 6.2126
-0.8067 -1.3973 6.2126
O Os Ni
2 1 1
direct
0.1027 0.1027 0.1027
0.8973 0.8973 0.8973
0.0000 0.0000 0.0000
0.5000 0.5000 0.5000

---

Record 2
NiOsO2 (GGA+U, optimized geometry); energy above the lowest structure with this stoichiometry = 741 meV/atom; symmetry = I-42d, No. 122; spin magnetization = 2.59 Bohr magnetons per cell; E = -5.8613 eV per atom
1.0
-4.5944 -1.6957 -0.4629
0.6851 -2.9204 3.8987
-3.2858 0.6333 4.1552
O Os Ni
4 2 2
direct
0.8750 0.8788 0.7500
0.3750 0.3712 0.7500
0.1212 0.6250 0.2500
0.6288 0.1250 0.2500
0.7500 0.2500 0.5000
0.0000 0.0000 0.0000
0.5000 0.5000 0.0000
0.2500 0.7500 0.5000

---

Record 3
NiOsO2 (GGA+U, optimized geometry); energy above the lowest structure with this stoichiometry = 1357 meV/atom; symmetry = Fm-3m, No. 225; spin magnetization = 0.00 Bohr magnetons per cell; E = -5.2453 eV per atom
1.0
0.0000 2.6594 2.6594
2.6594 0.0000 2.6594
2.6594 2.6594 0.0000
O Ni Os
2 1 1
direct
0.2500 0.2500 0.2500
0.7500 0.7500 0.7500
0.0000 0.0000 0.0000
0.5000 0.5000 0.5000

---

Record 4
NiOs2O6 (GGA+U, optimized geometry); symmetry = P321, No. 150; spin magnetization = 5.26 Bohr magnetons per cell; E = -7.0600 eV per atom
1.0
4.3874 0.0000 0.0000
0.0000 7.4834 -4.3205
0.0000 0.0000 8.6410
Os Ni O
6 3 18
direct
0.5000 0.0000 0.6771
0.0000 0.3435 0.0000
0.5000 0.6771 0.0000
0.5000 0.3229 0.3229
0.0000 0.0000 0.3435
0.0000 0.6565 0.6565
0.4962 0.3333 0.6667
0.0000 0.0000 0.0000
0.5038 0.6667 0.3333
0.7489 0.5595 0.1028
0.7411 0.5651 0.7775
0.7411 0.2225 0.7876
0.7595 0.8807 0.7689
0.7489 0.8972 0.4567
0.7489 0.5433 0.4405
0.2405 0.1193 0.8882
0.2589 0.4349 0.2124
0.2405 0.7689 0.8807
0.7595 0.2311 0.1118
0.2511 0.4405 0.5433
0.2511 0.1028 0.5595
0.7595 0.8882 0.1193
0.2589 0.7876 0.2225
0.2405 0.1118 0.2311
0.2589 0.7775 0.5651
0.2511 0.4567 0.8972
0.7411 0.2124 0.4349

---

Record 5
NiOsO2 (GGA+U, optimized geometry); energy above the lowest structure with this stoichiometry = 151 meV/atom; symmetry = Cm, No. 8; spin magnetization = 3.77 Bohr magnetons per cell; E = -6.4515 eV per atom
1.0
6.1308 0.3729 -0.1386
-2.9909 4.9400 -0.1588
-4.7723 -0.9723 3.7426
Ni O Os
2 4 2
direct
0.5528 0.9455 0.1225
0.3599 0.4088 0.7777
0.7835 0.3424 0.2879
0.5706 0.4693 0.6276
0.0423 0.9800 0.6673
0.6195 0.8134 0.9227
0.8899 0.0059 0.8447
0.5719 0.2778 0.4347

---

Record 6
NiPOsO2 (GGA+U, optimized geometry); energy above the lowest structure with this stoichiometry = 834 meV/atom; symmetry = P4/mmm, No. 123; spin magnetization = 1.41 Bohr magnetons per cell; E = -5.1055 eV per atom
1.0
3.5372 0.0000 0.0000
0.0000 3.5372 0.0000
0.0000 0.0000 4.8982
O Ni Os P
2 1 1 1
direct
0.0000 0.5000 0.0000
0.5000 0.0000 0.0000
0.0000 0.0000 0.0000
0.5000 0.5000 0.5000
0.0000 0.0000 0.5000

---

Among the records above, which one has the highest spin magnetization? NiOs2O6